1.
The following is a DFT calculation (PBE) of a relaxed InFe2Cl crystal.

Unit cell a=2.9024 b=5.4100 c=8.6738 alpha=90.00 beta=90.00 gamma=90.00
Atoms (fractional coordinates):
In1 0.0000 0.0000 0.0000
In2 0.5000 0.5000 0.5000
Fe1 0.0000 0.5000 0.2288
Fe2 0.0000 0.5000 0.7712
Fe3 0.5000 0.0000 0.2712
Fe4 0.5000 0.0000 0.7288
Cl1 0.0000 0.0000 0.5000
Cl2 0.5000 0.5000 0.0000

---

2.
The following is a DFT calculation (PBE) of a relaxed In4FeCl crystal.

Unit cell a=6.0579 b=6.0579 c=6.0579 alpha=60.00 beta=60.00 gamma=60.00
Atoms (fractional coordinates):
In1 0.1252 0.1252 0.1252
In2 0.1252 0.1252 0.6243
In3 0.1252 0.6243 0.1252
In4 0.6243 0.1252 0.1252
Fe1 0.5000 0.5000 0.5000
Cl1 0.7500 0.7500 0.7500

---

no.,formation energy without anion corrections (meV/atom)
1,391.3
2,396.5